(1)
A plane-wave DFT calculation with PBE was carried out for crystalline La2Pm3Ho4 at its relaxed geometry.

The structure in POSCAR format:
```
La2Pm3Ho4
1.0
7.205 0.000 0.000
1.819 7.899 0.000
3.551 2.512 10.584
La Pm Ho
4 6 8
direct
0.027 0.336 0.274 La
0.417 0.002 0.167 La
0.583 0.998 0.833 La
0.973 0.664 0.726 La
0.140 0.666 0.389 Pm
0.250 0.000 0.502 Pm
0.306 0.666 0.054 Pm
0.694 0.334 0.946 Pm
0.750 0.000 0.498 Pm
0.860 0.334 0.611 Pm
0.082 0.002 0.834 Ho
0.194 0.332 0.943 Ho
0.362 0.335 0.611 Ho
0.472 0.665 0.721 Ho
0.528 0.335 0.279 Ho
0.638 0.665 0.389 Ho
0.806 0.668 0.057 Ho
0.918 0.998 0.166 Ho
```

Summary:
Its total energy is -4.691 eV/atom. As for the energy above the lowest structure with this stoichiometry: 0 meV per atom. Its symmetry is P-1 (2). The value obtained for the formation energy is 0.2 eV/f.u.

(2)
A plane-wave DFT calculation with PBE was carried out for crystalline La2PmHo7 at its relaxed geometry.

The structure in POSCAR format:
```
La2PmHo7
1.0
3.282 -14.506 0.000
3.282 14.506 0.000
0.000 0.000 3.517
La Pm Ho
2 1 7
direct
0.206 0.794 0.000 La
0.794 0.206 0.000 La
0.500 0.500 0.500 Pm
0.000 0.000 0.000 Ho
0.156 0.352 0.000 Ho
0.316 0.684 0.500 Ho
0.352 0.156 0.000 Ho
0.648 0.844 0.000 Ho
0.684 0.316 0.500 Ho
0.844 0.648 0.000 Ho
```

Summary:
Its total energy is -4.501 eV/atom. As for the energy above the lowest structure with this stoichiometry: 137 meV per atom. Its symmetry is Cmmm (65). The value obtained for the formation energy is 1.6 eV/f.u.